VASP calculation (PBE with a Hubbard U) on an optimized crystal structure of CrCdAsF2.

Unit cell a=3.956 b=3.956 c=5.599 alpha=90.00 beta=90.00 gamma=90.00
Space group P4/mmm (No. 123)
Unique sites:
Cr 0.000 0.000 0.000 x1
Cd 0.500 0.500 0.500 x1
As 0.000 0.000 0.500 x1
F 0.000 0.500 0.000 x2

total DFT energy (no corrections)	-23.899	eV for the cell shown